1.
This record from Alexandria describes a relaxed NdY2Sc4 crystal. The functional is PBE-GGA.

- excess energy over the best structure of this formula in the dataset (eV/atom) = 0.110
- VASP energy (eV/atom) = -5.970
- E_form (eV/f.u.) = 1.2

The structure in CIF format:
```
data_NdY2Sc4
_symmetry_space_group_name_H-M 'C m m m'
_symmetry_Int_Tables_number 65
_symmetry_space_group_name_Hall '-C 2 2'
_cell_length_a 3.6174
_cell_length_b 21.3158
_cell_length_c 5.2802
_cell_angle_alpha 90.00
_cell_angle_beta 90.00
_cell_angle_gamma 90.00
loop_
_atom_site_label
_atom_site_type_symbol
_atom_site_fract_x
_atom_site_fract_y
_atom_site_fract_z
Nd1 Nd 0.0000 0.0000 0.0000
Y1 Y 0.0000 0.4250 0.5000
Sc1 Sc 0.0000 0.1981 0.5000
Sc2 Sc 0.0000 0.3168 0.0000
```

***

2.
This record from Alexandria describes a relaxed NiBr2 crystal. The functional is PBE-GGA.

- VASP energy (eV/atom) = -3.382

The structure in CIF format:
```
data_NiBr2
_symmetry_space_group_name_H-M 'R -3 m'
_symmetry_Int_Tables_number 166
_symmetry_space_group_name_Hall '-R 3 2"'
_cell_length_a 3.6839
_cell_length_b 3.6839
_cell_length_c 20.4555
_cell_angle_alpha 90.00
_cell_angle_beta 90.00
_cell_angle_gamma 120.00
loop_
_atom_site_label
_atom_site_type_symbol
_atom_site_fract_x
_atom_site_fract_y
_atom_site_fract_z
Ni1 Ni 0.0000 0.0000 0.0000
Br1 Br 0.0000 0.0000 0.2648
```

***

3.
This record from Alexandria describes a relaxed Li2CrW crystal. The functional is PBE-GGA.

- excess energy over the best structure of this formula in the dataset (eV/atom) = 0.231
- VASP energy (eV/atom) = -6.042
- E_form (eV/f.u.) = 2.2

The structure in CIF format:
```
data_Li2CrW
_symmetry_space_group_name_H-M 'I 4/m m m'
_symmetry_Int_Tables_number 139
_symmetry_space_group_name_Hall '-I 4 2'
_cell_length_a 3.4561
_cell_length_b 3.4561
_cell_length_c 9.4005
_cell_angle_alpha 90.00
_cell_angle_beta 90.00
_cell_angle_gamma 90.00
loop_
_atom_site_label
_atom_site_type_symbol
_atom_site_fract_x
_atom_site_fract_y
_atom_site_fract_z
Li1 Li 0.0000 0.5000 0.2500
Cr1 Cr 0.0000 0.0000 0.0000
W1 W 0.0000 0.0000 0.5000
```

***

4.
This record from Alexandria describes a relaxed CeBe4Ge3O12 crystal. The functional is PBE-GGA.

- VASP energy (eV/atom) = -6.939

The structure in CIF format:
```
data_CeBe4Ge3O12
_symmetry_space_group_name_H-M 'R 3 2'
_symmetry_Int_Tables_number 155
_symmetry_space_group_name_Hall 'R 3 2"'
_cell_length_a 9.7934
_cell_length_b 9.7934
_cell_length_c 7.2104
_cell_angle_alpha 90.00
_cell_angle_beta 90.00
_cell_angle_gamma 120.00
loop_
_atom_site_label
_atom_site_type_symbol
_atom_site_fract_x
_atom_site_fract_y
_atom_site_fract_z
Ce1 Ce 0.0000 0.0000 0.0000
Be1 Be 0.0000 0.0000 0.5000
Be2 Be 0.0000 0.4352 0.5000
Ge1 Ge 0.0000 0.5634 0.0000
O1 O 0.0000 0.5919 0.5000
O2 O 0.0000 0.8408 0.5000
O3 O 0.0472 0.2167 0.1872
```

***

5.
This record from Alexandria describes a relaxed LaSe2Br crystal. The functional is PBE-GGA.

- excess energy over the best structure of this formula in the dataset (eV/atom) = 0.483
- VASP energy (eV/atom) = -4.314

The structure in CIF format:
```
data_LaSe2Br
_symmetry_space_group_name_H-M 'F -4 3 m'
_symmetry_Int_Tables_number 216
_symmetry_space_group_name_Hall 'F -4 2 3'
_cell_length_a 7.4306
_cell_length_b 7.4306
_cell_length_c 7.4306
_cell_angle_alpha 90.00
_cell_angle_beta 90.00
_cell_angle_gamma 90.00
loop_
_atom_site_label
_atom_site_type_symbol
_atom_site_fract_x
_atom_site_fract_y
_atom_site_fract_z
La1 La 0.0000 0.0000 0.0000
Se1 Se 0.0000 0.0000 0.5000
Se2 Se 0.2500 0.2500 0.7500
Br1 Br 0.2500 0.2500 0.2500
```

***

6.
This record from Alexandria describes a relaxed Pr2Be4IrPt3 crystal. The functional is PBE-GGA.

- VASP energy (eV/atom) = -5.936
- E_form (eV/f.u.) = -7.9

The structure in CIF format:
```
data_Pr2Be4IrPt3
_symmetry_space_group_name_H-M 'P -4 m 2'
_symmetry_Int_Tables_number 115
_symmetry_space_group_name_Hall 'P -4 -2'
_cell_length_a 4.0884
_cell_length_b 4.0884
_cell_length_c 9.6686
_cell_angle_alpha 90.00
_cell_angle_beta 90.00
_cell_angle_gamma 90.00
loop_
_atom_site_label
_atom_site_type_symbol
_atom_site_fract_x
_atom_site_fract_y
_atom_site_fract_z
Pr1 Pr 0.0000 0.5000 0.2469
Be1 Be 0.0000 0.0000 0.5000
Be2 Be 0.0000 0.5000 0.8844
Be3 Be 0.5000 0.5000 0.5000
Ir1 Ir 0.5000 0.5000 0.0000
Pt1 Pt 0.0000 0.0000 0.0000
Pt2 Pt 0.0000 0.5000 0.6213
```

***

7.
This record from Alexandria describes a relaxed Li2TlTe crystal. The functional is PBE-GGA.

- excess energy over the best structure of this formula in the dataset (eV/atom) = 0.072
- VASP energy (eV/atom) = -2.815

The structure in CIF format:
```
data_Li2TlTe
_symmetry_space_group_name_H-M 'F m -3 m'
_symmetry_Int_Tables_number 225
_symmetry_space_group_name_Hall '-F 4 2 3'
_cell_length_a 7.2294
_cell_length_b 7.2294
_cell_length_c 7.2294
_cell_angle_alpha 90.00
_cell_angle_beta 90.00
_cell_angle_gamma 90.00
loop_
_atom_site_label
_atom_site_type_symbol
_atom_site_fract_x
_atom_site_fract_y
_atom_site_fract_z
Li1 Li 0.2500 0.2500 0.2500
Tl1 Tl 0.0000 0.0000 0.0000
Te1 Te 0.0000 0.0000 0.5000
```

***

8.
This record from Alexandria describes a relaxed BaHgCl2 crystal. The functional is PBE-GGA.

- excess energy over the best structure of this formula in the dataset (eV/atom) = 0.327
- VASP energy (eV/atom) = -2.957

The structure in CIF format:
```
data_BaHgCl2
_symmetry_space_group_name_H-M 'F -4 3 m'
_symmetry_Int_Tables_number 216
_symmetry_space_group_name_Hall 'F -4 2 3'
_cell_length_a 7.8134
_cell_length_b 7.8134
_cell_length_c 7.8134
_cell_angle_alpha 90.00
_cell_angle_beta 90.00
_cell_angle_gamma 90.00
loop_
_atom_site_label
_atom_site_type_symbol
_atom_site_fract_x
_atom_site_fract_y
_atom_site_fract_z
Ba1 Ba 0.0000 0.0000 0.0000
Hg1 Hg 0.2500 0.2500 0.2500
Cl1 Cl 0.0000 0.0000 0.5000
Cl2 Cl 0.2500 0.2500 0.7500
```

***

Q: Number 5 is which compound?
A: LaSe2Br